VASP calculation (PBE-GGA) on crystalline Ca4Tb3NdSe8 at its relaxed geometry.

```
data_Ca4Tb3NdSe8
_cell_length_a 8.2649
_cell_length_b 8.2649
_cell_length_c 20.6667
_cell_angle_alpha 90.00
_cell_angle_beta 90.00
_cell_angle_gamma 120.00
_space_group_name_H-M_alt 'R -3 m'
_space_group_IT_number 166
_space_group_name_Hall '-R 3 2"'
loop_
_atom_site_label
_atom_site_fract_x
_atom_site_fract_y
_atom_site_fract_z
Ca1 0.0000 0.0000 0.0000
Ca2 0.0000 0.5000 0.0000
Tb1 0.0000 0.5000 0.5000
Nd1 0.0000 0.0000 0.5000
Se1 0.0000 0.0000 0.2487
Se2 0.0056 0.5028 0.7499
```

**Crystal system**: trigonal
**Magnetic moment**: 0.0 μB per formula unit
**Total energy**: -5.30 eV per atom
**D(E_F)**: 16.343 states/eV per cell


VASP calculation (PBE-GGA) on crystalline Ca3Tb2NdSe6 at its relaxed geometry.

```
data_Ca3Tb2NdSe6
_cell_length_a 7.1786
_cell_length_b 12.4193
_cell_length_c 7.2950
_cell_angle_alpha 90.00
_cell_angle_beta 109.19
_cell_angle_gamma 90.00
_space_group_name_H-M_alt 'C 1 2/m 1'
_space_group_IT_number 12
loop_
_space_group_symop_operation_xyz
'x,y,z'
'-x,-y,-z'
'-x,y,-z'
'x,-y,z'
'x+1/2,y+1/2,z'
'-x+1/2,-y+1/2,-z'
'-x+1/2,y+1/2,-z'
'x+1/2,-y+1/2,z'
loop_
_atom_site_label
_atom_site_fract_x
_atom_site_fract_y
_atom_site_fract_z
Ca1 0.0000 0.0000 0.0000
Ca2 0.0000 0.3354 0.0000
Tb1 0.0000 0.1672 0.5000
Nd1 0.0000 0.5000 0.5000
Se1 0.2426 0.0000 0.7495
Se2 0.2462 0.1703 0.2496
```

**Crystal system**: monoclinic
**Magnetic moment**: 0.0 μB per formula unit
**Total energy**: -5.30 eV per atom
**D(E_F)**: 8.950 states/eV per cell


VASP calculation (PBE-GGA) on crystalline CaNdTeSe at its relaxed geometry.

```
data_CaNdTeSe
_cell_length_a 4.3079
_cell_length_b 4.3079
_cell_length_c 21.8514
_cell_angle_alpha 90.00
_cell_angle_beta 90.00
_cell_angle_gamma 120.00
_space_group_name_H-M_alt 'R 3 m'
_space_group_IT_number 160
_space_group_name_Hall 'R 3 -2"'
loop_
_atom_site_label
_atom_site_fract_x
_atom_site_fract_y
_atom_site_fract_z
Ca1 0.0000 0.0000 0.0000
Nd1 0.0000 0.0000 0.5136
Te1 0.0000 0.0000 0.7558
Se1 0.0000 0.0000 0.2597
```

**Crystal system**: trigonal
**Magnetic moment**: 0.0 μB per formula unit
**Total energy**: -5.05 eV per atom
**D(E_F)**: 4.778 states/eV per cell


VASP calculation (PBE-GGA) on crystalline Ca2NdThSe4 at its relaxed geometry.

```
data_Ca2NdThSe4
_cell_length_a 7.1724
_cell_length_b 4.1312
_cell_length_c 7.4803
_cell_angle_alpha 90.00
_cell_angle_beta 108.51
_cell_angle_gamma 90.00
_space_group_name_H-M_alt 'P 1 2/m 1'
_space_group_IT_number 10
loop_
_space_group_symop_operation_xyz
'x,y,z'
'-x,-y,-z'
'-x,y,-z'
'x,-y,z'
loop_
_atom_site_label
_atom_site_fract_x
_atom_site_fract_y
_atom_site_fract_z
Ca1 0.0000 0.0000 0.0000
Ca2 0.5000 0.5000 0.0000
Nd1 0.0000 0.5000 0.5000
Th1 0.5000 0.0000 0.5000
Se1 0.2484 0.5000 0.2411
Se2 0.2543 0.0000 0.7575
```

**Crystal system**: monoclinic
**Magnetic moment**: 0.0 μB per formula unit
**Total energy**: -5.56 eV per atom
**D(E_F)**: 4.224 states/eV per cell


VASP calculation (PBE-GGA) on crystalline CaNdTh2Se4 at its relaxed geometry.

```
data_CaNdTh2Se4
_cell_length_a 7.1433
_cell_length_b 4.1132
_cell_length_c 7.5335
_cell_angle_alpha 90.00
_cell_angle_beta 108.34
_cell_angle_gamma 90.00
_space_group_name_H-M_alt 'P 1 2/m 1'
_space_group_IT_number 10
loop_
_space_group_symop_operation_xyz
'x,y,z'
'-x,-y,-z'
'-x,y,-z'
'x,-y,z'
loop_
_atom_site_label
_atom_site_fract_x
_atom_site_fract_y
_atom_site_fract_z
Ca1 0.0000 0.0000 0.0000
Nd1 0.5000 0.5000 0.0000
Th1 0.0000 0.5000 0.5000
Th2 0.5000 0.0000 0.5000
Se1 0.2420 0.5000 0.2412
Se2 0.2464 0.0000 0.7551
```

**Crystal system**: monoclinic
**Magnetic moment**: 0.0 μB per formula unit
**Total energy**: -6.13 eV per atom
**D(E_F)**: 4.959 states/eV per cell


VASP calculation (PBE-GGA) on crystalline CaNd2ThSe4 at its relaxed geometry.

```
data_CaNd2ThSe4
_cell_length_a 7.2546
_cell_length_b 4.1834
_cell_length_c 7.3771
_cell_angle_alpha 90.00
_cell_angle_beta 109.07
_cell_angle_gamma 90.00
_space_group_name_H-M_alt 'P 1 2/m 1'
_space_group_IT_number 10
loop_
_space_group_symop_operation_xyz
'x,y,z'
'-x,-y,-z'
'-x,y,-z'
'x,-y,z'
loop_
_atom_site_label
_atom_site_fract_x
_atom_site_fract_y
_atom_site_fract_z
Ca1 0.0000 0.0000 0.0000
Nd1 0.5000 0.0000 0.5000
Nd2 0.5000 0.5000 0.0000
Th1 0.0000 0.5000 0.5000
Se1 0.2423 0.5000 0.2443
Se2 0.2452 0.0000 0.7533
```

**Crystal system**: monoclinic
**Magnetic moment**: 0.0 μB per formula unit
**Total energy**: -5.89 eV per atom
**D(E_F)**: 4.298 states/eV per cell


VASP calculation (PBE-GGA) on crystalline CaNd2Tl3Se6 at its relaxed geometry.

```
data_CaNd2Tl3Se6
_cell_length_a 19.5506
_cell_length_b 4.3247
_cell_length_c 9.0101
_cell_angle_alpha 90.00
_cell_angle_beta 106.68
_cell_angle_gamma 90.00
_space_group_name_H-M_alt 'C 1 2/m 1'
_space_group_IT_number 12
loop_
_space_group_symop_operation_xyz
'x,y,z'
'-x,-y,-z'
'-x,y,-z'
'x,-y,z'
'x+1/2,y+1/2,z'
'-x+1/2,-y+1/2,-z'
'-x+1/2,y+1/2,-z'
'x+1/2,-y+1/2,z'
loop_
_atom_site_label
_atom_site_fract_x
_atom_site_fract_y
_atom_site_fract_z
Ca1 0.0000 0.0000 0.0000
Nd1 0.1654 0.5000 0.3293
Tl1 0.0000 0.0000 0.5000
Tl2 0.1637 0.5000 0.8350
Se1 0.0088 0.5000 0.2338
Se2 0.1604 0.0000 0.1023
Se3 0.1743 0.0000 0.5628
```

**Crystal system**: monoclinic
**Magnetic moment**: 0.0 μB per formula unit
**Total energy**: -4.56 eV per atom
**D(E_F)**: 11.369 states/eV per cell


VASP calculation (PBE-GGA) on crystalline CaNd2TmSe4 at its relaxed geometry.

```
data_CaNd2TmSe4
_cell_length_a 7.1532
_cell_length_b 4.1196
_cell_length_c 7.3217
_cell_angle_alpha 90.00
_cell_angle_beta 108.80
_cell_angle_gamma 90.00
_space_group_name_H-M_alt 'P 1 2/m 1'
_space_group_IT_number 10
loop_
_space_group_symop_operation_xyz
'x,y,z'
'-x,-y,-z'
'-x,y,-z'
'x,-y,z'
loop_
_atom_site_label
_atom_site_fract_x
_atom_site_fract_y
_atom_site_fract_z
Ca1 0.0000 0.0000 0.0000
Nd1 0.0000 0.5000 0.5000
Nd2 0.5000 0.0000 0.5000
Tm1 0.5000 0.5000 0.0000
Se1 0.2505 0.5000 0.2366
Se2 0.2593 0.0000 0.7671
```

**Crystal system**: monoclinic
**Magnetic moment**: 0.0 μB per formula unit
**Total energy**: -5.57 eV per atom
**D(E_F)**: 3.505 states/eV per cell


VASP calculation (PBE-GGA) on crystalline CaNdTm4Se8 at its relaxed geometry.

```
data_CaNdTm4Se8
_cell_length_a 8.3857
_cell_length_b 8.3857
_cell_length_c 20.8489
_cell_angle_alpha 90.00
_cell_angle_beta 90.00
_cell_angle_gamma 120.00
_space_group_name_H-M_alt 'R 3 m'
_space_group_IT_number 160
_space_group_name_Hall 'R 3 -2"'
loop_
_atom_site_label
_atom_site_fract_x
_atom_site_fract_y
_atom_site_fract_z
Ca1 0.0000 0.0000 0.0000
Nd1 0.0000 0.0000 0.3713
Tm1 0.0000 0.0000 0.7475
Tm2 0.0054 0.5027 0.8740
Se1 0.0000 0.0000 0.1345
Se2 0.0000 0.0000 0.6150
Se3 0.0128 0.5064 0.1294
Se4 0.1770 0.3540 0.9490
```

**Crystal system**: trigonal
**Magnetic moment**: 0.0 μB per formula unit
**Total energy**: -5.53 eV per atom
**D(E_F)**: 11.777 states/eV per cell


VASP calculation (PBE-GGA) on crystalline Ca2NdTmSe4 at its relaxed geometry.

```
data_Ca2NdTmSe4
_cell_length_a 7.1759
_cell_length_b 4.1306
_cell_length_c 7.2762
_cell_angle_alpha 90.00
_cell_angle_beta 109.07
_cell_angle_gamma 90.00
_space_group_name_H-M_alt 'P 1 2/m 1'
_space_group_IT_number 10
loop_
_space_group_symop_operation_xyz
'x,y,z'
'-x,-y,-z'
'-x,y,-z'
'x,-y,z'
loop_
_atom_site_label
_atom_site_fract_x
_atom_site_fract_y
_atom_site_fract_z
Ca1 0.0000 0.0000 0.0000
Ca2 0.5000 0.5000 0.0000
Nd1 0.0000 0.5000 0.5000
Tm1 0.5000 0.0000 0.5000
Se1 0.2603 0.0000 0.7519
Se2 0.2607 0.5000 0.2551
```

**Crystal system**: monoclinic
**Magnetic moment**: 0.0 μB per formula unit
**Total energy**: -5.26 eV per atom
**D(E_F)**: 3.402 states/eV per cell


VASP calculation (PBE-GGA) on crystalline Ca3Nd3TmSe8 at its relaxed geometry.

```
data_Ca3Nd3TmSe8
_cell_length_a 8.3727
_cell_length_b 8.3727
_cell_length_c 20.7292
_cell_angle_alpha 90.00
_cell_angle_beta 90.00
_cell_angle_gamma 120.00
_space_group_name_H-M_alt 'R -3 m'
_space_group_IT_number 166
_space_group_name_Hall '-R 3 2"'
loop_
_atom_site_label
_atom_site_fract_x
_atom_site_fract_y
_atom_site_fract_z
Ca1 0.0000 0.5000 0.0000
Nd1 0.0000 0.5000 0.5000
Tm1 0.0000 0.0000 0.5000
Se1 0.0000 0.0000 0.2521
Se2 0.0124 0.5062 0.2476
```

**Crystal system**: trigonal
**Magnetic moment**: 0.0 μB per formula unit
**Total energy**: -5.43 eV per atom
**D(E_F)**: 13.160 states/eV per cell


VASP calculation (PBE-GGA) on crystalline CaNd2YSe4 at its relaxed geometry.

```
data_CaNd2YSe4
_cell_length_a 7.2184
_cell_length_b 4.1512
_cell_length_c 7.3063
_cell_angle_alpha 90.00
_cell_angle_beta 108.97
_cell_angle_gamma 90.00
_space_group_name_H-M_alt 'P 1 2/m 1'
_space_group_IT_number 10
loop_
_space_group_symop_operation_xyz
'x,y,z'
'-x,-y,-z'
'-x,y,-z'
'x,-y,z'
loop_
_atom_site_label
_atom_site_fract_x
_atom_site_fract_y
_atom_site_fract_z
Ca1 0.0000 0.0000 0.0000
Nd1 0.0000 0.5000 0.5000
Nd2 0.5000 0.0000 0.5000
Y1 0.5000 0.5000 0.0000
Se1 0.2483 0.5000 0.2395
Se2 0.2547 0.0000 0.7624
```

**Crystal system**: monoclinic
**Magnetic moment**: 0.0 μB per formula unit
**Total energy**: -5.85 eV per atom
**D(E_F)**: 3.279 states/eV per cell


What did the tenth record say?
VASP calculation (PBE-GGA) on crystalline Ca2NdTmSe4 at its relaxed geometry.

```
data_Ca2NdTmSe4
_cell_length_a 7.1759
_cell_length_b 4.1306
_cell_length_c 7.2762
_cell_angle_alpha 90.00
_cell_angle_beta 109.07
_cell_angle_gamma 90.00
_space_group_name_H-M_alt 'P 1 2/m 1'
_space_group_IT_number 10
loop_
_space_group_symop_operation_xyz
'x,y,z'
'-x,-y,-z'
'-x,y,-z'
'x,-y,z'
loop_
_atom_site_label
_atom_site_fract_x
_atom_site_fract_y
_atom_site_fract_z
Ca1 0.0000 0.0000 0.0000
Ca2 0.5000 0.5000 0.0000
Nd1 0.0000 0.5000 0.5000
Tm1 0.5000 0.0000 0.5000
Se1 0.2603 0.0000 0.7519
Se2 0.2607 0.5000 0.2551
```

**Crystal system**: monoclinic
**Magnetic moment**: 0.0 μB per formula unit
**Total energy**: -5.26 eV per atom
**D(E_F)**: 3.402 states/eV per cell